The following is a DFT calculation (GGA-PBE) of a relaxed Pm12In5Co3 crystal. Values from VASP.

Geometry as Quantum ESPRESSO input:
```
&SYSTEM
  ibrav = 0, nat = 80, ntyp = 3
/
ATOMIC_SPECIES
Pm 145.00 Pm.upf
In 114.82 In.upf
Co 58.93 Co.upf
CELL_PARAMETERS angstrom
-8.741 8.741 8.741
8.741 -8.741 8.741
8.741 8.741 -8.741
ATOMIC_POSITIONS crystal
Pm 0.052 0.629 0.387
Pm 0.052 0.923 0.665
Pm 0.077 0.242 0.129
Pm 0.077 0.335 0.948
Pm 0.113 0.742 0.665
Pm 0.113 0.871 0.448
Pm 0.129 0.077 0.242
Pm 0.129 0.552 0.887
Pm 0.165 0.242 0.613
Pm 0.165 0.423 0.552
Pm 0.242 0.129 0.077
Pm 0.242 0.613 0.165
Pm 0.258 0.335 0.887
Pm 0.258 0.423 0.371
Pm 0.335 0.887 0.258
Pm 0.335 0.948 0.077
Pm 0.371 0.258 0.423
Pm 0.371 0.613 0.948
Pm 0.387 0.052 0.629
Pm 0.387 0.835 0.758
Pm 0.423 0.371 0.258
Pm 0.423 0.552 0.165
Pm 0.448 0.113 0.871
Pm 0.448 0.835 0.577
Pm 0.552 0.165 0.423
Pm 0.552 0.887 0.129
Pm 0.577 0.448 0.835
Pm 0.577 0.629 0.742
Pm 0.613 0.165 0.242
Pm 0.613 0.948 0.371
Pm 0.629 0.387 0.052
Pm 0.629 0.742 0.577
Pm 0.665 0.052 0.923
Pm 0.665 0.113 0.742
Pm 0.742 0.577 0.629
Pm 0.742 0.665 0.113
Pm 0.758 0.387 0.835
Pm 0.758 0.871 0.923
Pm 0.835 0.577 0.448
Pm 0.835 0.758 0.387
Pm 0.871 0.448 0.113
Pm 0.871 0.923 0.758
Pm 0.887 0.129 0.552
Pm 0.887 0.258 0.335
Pm 0.923 0.665 0.052
Pm 0.923 0.758 0.871
Pm 0.948 0.077 0.335
Pm 0.948 0.371 0.613
In 0.000 0.000 0.000
In 0.000 0.000 0.500
In 0.000 0.500 0.000
In 0.000 0.500 0.500
In 0.125 0.750 0.875
In 0.125 0.875 0.250
In 0.250 0.125 0.875
In 0.250 0.625 0.375
In 0.375 0.250 0.625
In 0.375 0.625 0.750
In 0.500 0.000 0.000
In 0.500 0.000 0.500
In 0.500 0.500 0.000
In 0.500 0.500 0.500
In 0.625 0.375 0.250
In 0.625 0.750 0.375
In 0.750 0.375 0.625
In 0.750 0.875 0.125
In 0.875 0.125 0.750
In 0.875 0.250 0.125
Co 0.125 0.250 0.375
Co 0.125 0.375 0.750
Co 0.250 0.375 0.125
Co 0.250 0.875 0.625
Co 0.375 0.125 0.250
Co 0.375 0.750 0.125
Co 0.625 0.250 0.875
Co 0.625 0.875 0.750
Co 0.750 0.125 0.375
Co 0.750 0.625 0.875
Co 0.875 0.625 0.250
Co 0.875 0.750 0.625
```

Computed properties:
* spin magnetization: 0.00 Bohr magnetons per cell
* total energy: -4.26 eV/atom